# 1
This record from Alexandria describes ScTaSeN2 after structural relaxation. The functional is GGA-PBEsol.

## Properties
Uncorrected formation energy in eV/atom: -0.517
SG: No. 123
Total moment in μB per cell: 0.000
Offset from the most stable computed form in eV per formula unit: 0.00

a = 3.9894 Å, b = 3.9894 Å, c = 5.0854 Å
α = 90.00°, β = 90.00°, γ = 90.00°
Element x y z (fractional)
Ta  0.0000  0.0000  0.0000
N  0.0000  0.5000  0.0000
N  0.5000  0.0000  0.0000
Sc  0.5000  0.5000  0.5000
Se  0.0000  0.0000  0.5000


# 2
This record from Alexandria describes Sc3As after structural relaxation. The functional is GGA-PBEsol.

## Properties
SG: No. 25
Energy of formation from the pure elements in eV/atom: -0.487
Total moment in μB per cell: 0.000

a = 3.6068 Å, b = 4.2579 Å, c = 5.2867 Å
α = 90.00°, β = 90.00°, γ = 90.00°
Element x y z (fractional)
Sc  0.5000  0.0000  0.4609
Sc  0.5000  0.5000  0.8848
Sc  0.0000  0.5000  0.3279
As  0.0000  0.0000  0.9930


# 3
This record from Alexandria describes HfTlIn3 after structural relaxation. The functional is GGA-PBEsol.

## Properties
SG: No. 221
Energy of formation from the pure elements in eV/atom: 1.085
Total moment in μB per cell: 0.005
Offset from the most stable computed form in eV per formula unit: 2.73

a = 5.3897 Å, b = 5.3897 Å, c = 5.3897 Å
α = 90.00°, β = 90.00°, γ = 90.00°
Element x y z (fractional)
Tl  0.0000  0.0000  0.0000
In  0.0000  0.5000  0.0000
In  0.5000  0.0000  0.0000
In  0.0000  0.0000  0.5000
Hf  0.5000  0.5000  0.5000


# 4
This record from Alexandria describes Al4CoAu after structural relaxation. The functional is GGA-PBEsol.

## Properties
SG: No. 216
Energy of formation from the pure elements in eV/atom: 0.220
Total moment in μB per cell: 0.001

a = 5.0151 Å, b = 5.0151 Å, c = 5.0151 Å
α = 60.00°, β = 60.00°, γ = 60.00°
Element x y z (fractional)
Al  0.3742  0.3742  0.3742
Al  0.3742  0.8774  0.3742
Al  0.8774  0.3742  0.3742
Al  0.3742  0.3742  0.8774
Au  0.7500  0.7500  0.7500
Co  0.0000  0.0000  0.0000


# 5
This record from Alexandria describes OsAuSe2 after structural relaxation. The functional is GGA-PBEsol.

## Properties
Uncorrected formation energy in eV/atom: 0.161
SG: No. 166
Total moment in μB per cell: 0.001
Offset from the most stable computed form in eV per formula unit: 0.00

a = 3.6786 Å, b = 3.6786 Å, c = 7.6721 Å
α = 76.13°, β = 76.13°, γ = 60.00°
Element x y z (fractional)
Os  0.5000  0.5000  0.5000
Se  0.8906  0.8906  0.3281
Se  0.1094  0.1094  0.6719
Au  0.0000  0.0000  0.0000


# 6
This record from Alexandria describes Ca after structural relaxation. The functional is GGA-PBEsol.

## Properties
SG: No. 194
Energy of formation from the pure elements in eV/atom: 0.003
Total moment in μB per cell: 0.000
Offset from the most stable computed form in eV per formula unit: 0.00

a = 3.8423 Å, b = 3.8423 Å, c = 6.3512 Å
α = 90.00°, β = 90.00°, γ = 120.00°
Element x y z (fractional)
Ca  0.3333  0.6667  0.2500
Ca  0.6667  0.3333  0.7500


Copy entry 4 word for word.
This record from Alexandria describes Al4CoAu after structural relaxation. The functional is GGA-PBEsol.

## Properties
SG: No. 216
Energy of formation from the pure elements in eV/atom: 0.220
Total moment in μB per cell: 0.001

a = 5.0151 Å, b = 5.0151 Å, c = 5.0151 Å
α = 60.00°, β = 60.00°, γ = 60.00°
Element x y z (fractional)
Al  0.3742  0.3742  0.3742
Al  0.3742  0.8774  0.3742
Al  0.8774  0.3742  0.3742
Al  0.3742  0.3742  0.8774
Au  0.7500  0.7500  0.7500
Co  0.0000  0.0000  0.0000


Repeat the first record exactly.
This record from Alexandria describes ScTaSeN2 after structural relaxation. The functional is GGA-PBEsol.

## Properties
Uncorrected formation energy in eV/atom: -0.517
SG: No. 123
Total moment in μB per cell: 0.000
Offset from the most stable computed form in eV per formula unit: 0.00

a = 3.9894 Å, b = 3.9894 Å, c = 5.0854 Å
α = 90.00°, β = 90.00°, γ = 90.00°
Element x y z (fractional)
Ta  0.0000  0.0000  0.0000
N  0.0000  0.5000  0.0000
N  0.5000  0.0000  0.0000
Sc  0.5000  0.5000  0.5000
Se  0.0000  0.0000  0.5000


Which of these has the highest total moment? HfTlIn3